(1)
6
Lattice="-2.173 2.173 6.891 2.173 -2.173 6.891 2.173 2.173 -6.891" Properties=species:S:1:pos:R:3 comment="Pu2In PBE optimized geometry" formation_enthalpy_0k_ev_per_atom=0.2546 spacegroup="I4_1/amd, No. 141" pbc="T T T"
Pu 2.173 1.086 0.527
Pu 2.173 1.086 2.919
Pu 0.000 1.086 3.972
Pu 0.000 1.086 6.364
In 2.173 -1.086 5.168
In 0.000 3.259 1.723

***

(2)
14
Lattice="7.658 0.000 0.000 0.000 7.658 0.000 0.000 0.000 7.658" Properties=species:S:1:pos:R:3 comment="ZnGa3Hg3 PBE optimized geometry" formation_enthalpy_0k_ev_per_atom=0.4005 spacegroup="Pm-3n, No. 223" pbc="T T T"
Zn 0.000 0.000 0.000
Zn 3.829 3.829 3.829
Ga 0.000 1.914 3.829
Ga 0.000 5.743 3.829
Ga 1.914 3.829 0.000
Ga 3.829 0.000 1.914
Ga 3.829 0.000 5.743
Ga 5.743 3.829 0.000
Hg 0.000 3.829 1.914
Hg 0.000 3.829 5.743
Hg 1.914 0.000 3.829
Hg 3.829 1.914 0.000
Hg 3.829 5.743 0.000
Hg 5.743 0.000 3.829

***

(3)
16
Lattice="1.567 -5.390 0.000 1.567 5.390 0.000 0.000 0.000 10.794" Properties=species:S:1:pos:R:3 comment="SrTi2FeN4 PBE optimized geometry" formation_energy_uncorrected_ev_per_atom=-1.02 spacegroup="Cmcm, No. 63" pbc="T T T"
Sr 1.567 4.318 8.096
Sr 1.567 -4.318 2.699
Ti 1.567 1.441 5.846
Ti 1.567 1.441 10.345
Ti 1.567 -1.441 0.449
Ti 1.567 -1.441 4.948
Fe 1.567 3.575 2.699
Fe 1.567 -3.575 8.096
N 0.000 0.000 0.000
N 0.000 0.000 5.397
N 1.567 2.578 1.151
N 1.567 2.578 4.246
N 1.567 0.936 8.096
N 1.567 -0.936 2.699
N 1.567 -2.578 6.548
N 1.567 -2.578 9.643

***

(4)
4
Lattice="-1.581 2.462 4.349 1.581 -2.462 4.349 1.581 2.462 -4.349" Properties=species:S:1:pos:R:3 comment="TaW2Cl PBE optimized geometry" de_polymorph_mev_per_atom=564 formation_energy_uncorrected_ev_per_atom=0.80 spacegroup="Imm2, No. 44" pbc="T T T"
Ta 0.000 0.000 0.000
W 1.581 0.000 2.638
W 0.000 0.000 4.648
Cl 0.000 2.462 2.347

***

(5)
6
Lattice="2.149 -6.735 0.000 2.149 6.735 0.000 0.000 0.000 4.330" Properties=species:S:1:pos:R:3 comment="Ag2Sb PBE optimized geometry" de_polymorph_mev_per_atom=9 formation_energy_uncorrected_ev_per_atom=0.07 spacegroup="Cmcm, No. 63" pbc="T T T"
Ag 2.149 5.564 3.248
Ag 2.149 3.340 1.083
Ag 2.149 -3.340 3.248
Ag 2.149 -5.564 1.083
Sb 2.149 1.284 3.248
Sb 2.149 -1.284 1.083

***

(6)
10
Lattice="4.704 -2.682 0.000 4.704 2.682 0.000 -2.009 0.000 7.439" Properties=species:S:1:pos:R:3 comment="Y2ZnNi2 PBE optimized geometry" formation_enthalpy_0k_ev_per_atom=-0.4459 spacegroup="C2/c, No. 15" pbc="T T T"
Y 1.609 1.870 6.347
Y 4.785 1.870 4.811
Y 2.614 -1.870 2.628
Y 5.789 -1.870 1.091
Zn 4.201 0.810 1.860
Zn 3.197 -0.810 5.579
Ni 2.397 0.757 3.689
Ni 6.005 0.757 0.031
Ni 1.393 -0.757 7.408
Ni 5.001 -0.757 3.750

***

(7)
19
Lattice="4.142 2.391 5.103 -4.142 2.391 5.103 0.000 -4.783 5.103" Properties=species:S:1:pos:R:3 comment="Li15Hg2Rh2 PBE optimized geometry" formation_enthalpy_0k_ev_per_atom=-0.0401 spacegroup="R-3m, No. 166" pbc="T T T"
Li -4.142 0.000 7.654
Li -1.155 -2.782 5.103
Li -2.071 1.196 2.551
Li -2.987 0.391 5.103
Li -1.653 -0.954 6.753
Li 1.155 -2.782 5.103
Li -1.832 2.391 5.103
Li 0.000 -1.908 8.555
Li -1.653 0.954 8.555
Li 2.071 1.196 2.551
Li 1.653 -0.954 6.753
Li 0.000 1.908 6.753
Li 2.987 0.391 5.103
Li 1.832 2.391 5.103
Li 1.653 0.954 8.555
Hg 0.000 0.000 4.367
Hg 0.000 0.000 10.942
Rh 0.000 0.000 1.374
Rh 0.000 0.000 13.934

***

(8)
18
Lattice="1.919 -6.067 0.000 1.919 6.067 0.000 0.000 0.000 11.398" Properties=species:S:1:pos:R:3 comment="NdCo5Ge3 PBE optimized geometry" formation_enthalpy_0k_ev_per_atom=-0.3251 spacegroup="Cmcm, No. 63" pbc="T T T"
Nd 1.919 3.922 8.548
Nd 1.919 -3.922 2.849
Co 0.000 0.000 0.000
Co 0.000 0.000 5.699
Co 1.919 3.763 0.715
Co 1.919 3.763 4.984
Co 1.919 0.595 7.340
Co 1.919 0.595 9.756
Co 1.919 -0.595 1.642
Co 1.919 -0.595 4.057
Co 1.919 -3.763 6.414
Co 1.919 -3.763 10.683
Ge 1.919 4.785 2.849
Ge 1.919 1.492 0.526
Ge 1.919 1.492 5.173
Ge 1.919 -1.492 6.225
Ge 1.919 -1.492 10.872
Ge 1.919 -4.785 8.548

***

(9)
4
Lattice="4.011 -1.632 0.000 4.011 1.632 0.000 -0.438 0.000 5.444" Properties=species:S:1:pos:R:3 comment="CuWSe2 PBE optimized geometry" de_polymorph_mev_per_atom=393 formation_energy_uncorrected_ev_per_atom=0.24 spacegroup="C2/m, No. 12" pbc="T T T"
Cu 0.000 0.000 0.000
W 3.792 0.000 2.722
Se 1.350 0.000 3.946
Se 6.235 0.000 1.498

***

(10)
22
Lattice="1.313 -9.679 0.000 1.313 9.679 0.000 0.000 0.000 11.773" Properties=species:S:1:pos:R:3 comment="Ni7Pt3Rh PBE optimized geometry" formation_enthalpy_0k_ev_per_atom=0.1098 spacegroup="Cmcm, No. 63" pbc="T T T"
Ni 1.313 9.030 6.868
Ni 1.313 9.030 10.792
Ni 1.313 7.899 1.196
Ni 1.313 7.899 4.691
Ni 1.313 7.566 8.830
Ni 1.313 5.387 0.956
Ni 1.313 5.387 4.930
Ni 1.313 -5.387 6.843
Ni 1.313 -5.387 10.816
Ni 1.313 -7.566 2.943
Ni 1.313 -7.899 7.082
Ni 1.313 -7.899 10.577
Ni 1.313 -9.030 0.981
Ni 1.313 -9.030 4.905
Pt 1.313 3.244 8.830
Pt 1.313 2.885 0.841
Pt 1.313 2.885 5.046
Pt 1.313 -2.885 6.727
Pt 1.313 -2.885 10.932
Pt 1.313 -3.244 2.943
Rh 1.313 0.332 8.830
Rh 1.313 -0.332 2.943

***

(11)
8
Lattice="7.226 4.172 1.846 -7.226 4.172 1.846 0.000 -8.344 1.846" Properties=species:S:1:pos:R:3 comment="Na6AgAu PBE optimized geometry" de_polymorph_mev_per_atom=53 formation_enthalpy_0k_ev_per_atom=0.0488 spacegroup="R-3m, No. 166" pbc="T T T"
Na -2.246 -1.297 1.353
Na 2.246 -1.297 1.353
Na 0.000 2.594 1.353
Na 0.000 -2.594 4.186
Na -2.246 1.297 4.186
Na 2.246 1.297 4.186
Ag 0.000 0.000 0.000
Au 0.000 0.000 2.769

***

(12)
13
Lattice="-3.338 5.564 5.795 3.338 -5.564 5.795 3.338 5.564 -5.795" Properties=species:S:1:pos:R:3 comment="Tb5NdDy7 PBE optimized geometry" formation_enthalpy_0k_ev_per_atom=0.2462 spacegroup="Imm2, No. 44" pbc="T T T"
Tb 0.000 0.000 0.000
Tb 1.558 3.010 -0.030
Tb 1.780 -2.554 5.766
Tb 1.558 8.118 -0.030
Tb 1.780 2.554 5.766
Nd 0.000 5.564 2.289
Dy 3.338 0.000 0.011
Dy 3.338 3.682 -2.917
Dy 3.338 0.000 3.541
Dy 0.000 1.882 2.878
Dy 0.000 0.000 5.751
Dy 3.338 3.680 2.879
Dy 0.000 1.884 8.674

***

The evaluated E_tot for the records listed, in turn: -10.213; -1.208; -8.425; -9.101; -3.200; -5.599; -2.357; -6.342; -5.763; -5.885; -1.707; -4.379 eV per atom.